Arrangement w

First-principles (PBE) data for an optimized crystal structure of HfTe2IF, as listed in the Alexandria database.

The structure belongs to space group P4/mmm (No. 123); the cell edges are 4.7068, 4.7068 and 5.8076 Å and the angles 90.00°, 90.00° and 90.00°. The distinct sites, in fractional coordinates, are Hf at (0.0000, 0.0000, 0.0000), Te at (0.0000, 0.5000, 0.5000), I at (0.5000, 0.5000, 0.0000) and F at (0.5000, 0.5000, 0.5000).

Arrangement x

First-principles (PBE) data for an optimized crystal structure of HfTe2IF, as listed in the Alexandria database.

The structure belongs to space group P4/mmm (No. 123); the cell edges are 5.5179, 5.5179 and 5.6162 Å and the angles 90.00°, 90.00° and 90.00°. The distinct sites, in fractional coordinates, are Hf at (0.0000, 0.0000, 0.0000), Te at (0.0000, 0.5000, 0.0000), I at (0.0000, 0.0000, 0.5000) and F at (0.5000, 0.5000, 0.5000).

If you had to name the least stable structure above, which would it be? It would be arrangement w.